Compound: Si2Tc2S
Source: Alexandria
Functional: PBE-GGA
Structure: optimized geometry

a = 6.832 Å, b = 6.832 Å, c = 3.082 Å
α = 90.00°, β = 90.00°, γ = 90.00°
Fractional coordinates of all 10 atoms:
S (0.000, 0.000, 0.000)
S (0.500, 0.500, 0.000)
Si (0.130, 0.630, 0.500)
Si (0.630, 0.870, 0.500)
Si (0.870, 0.370, 0.500)
Si (0.370, 0.130, 0.500)
Tc (0.338, 0.838, 0.000)
Tc (0.838, 0.662, 0.000)
Tc (0.662, 0.162, 0.000)
Tc (0.162, 0.338, 0.000)

Output
The calculation puts the formation energy (no corrections) at -97 meV per atom. The value obtained for the magnetic moment is 0.0 μB per cell. The symmetry is P4/mbm.